## Ca2NiRhCl (GGA-PBEsol)

Data for an optimized crystal structure of Ca2NiRhCl.

## Properties
formation energy without anion corrections = 0.06 eV/atom
D(E_F) = 1.53 states/eV/cell
E = -4.06 eV/atom

CIF file:
```
data_Ca2NiRhCl
_cell_length_a 5.322
_cell_length_b 5.322
_cell_length_c 3.946
_cell_angle_alpha 90.00
_cell_angle_beta 90.00
_cell_angle_gamma 90.00
_symmetry_space_group_name_H-M 'P 4/m m m'
_symmetry_Int_Tables_number 123
_symmetry_space_group_name_Hall '-P 4 2'
loop_
_atom_site_label
_atom_site_type_symbol
_atom_site_fract_x
_atom_site_fract_y
_atom_site_fract_z
_atom_site_occupancy
Ca1 Ca 0.000 0.500 0.000 1
Ni1 Ni 0.000 0.000 0.000 1
Rh1 Rh 0.500 0.500 0.500 1
Cl1 Cl 0.000 0.000 0.500 1
```

***

## YSb2Ir (GGA-PBEsol)

Data for an optimized crystal structure of YSb2Ir.

## Properties
formation energy without anion corrections = -0.20 eV/atom
D(E_F) = 3.37 states/eV/cell
E = -6.64 eV/atom

CIF file:
```
data_YSb2Ir
_cell_length_a 3.373
_cell_length_b 3.373
_cell_length_c 7.451
_cell_angle_alpha 90.00
_cell_angle_beta 90.00
_cell_angle_gamma 90.00
_symmetry_space_group_name_H-M 'P 4/m m m'
_symmetry_Int_Tables_number 123
_symmetry_space_group_name_Hall '-P 4 2'
loop_
_atom_site_label
_atom_site_type_symbol
_atom_site_fract_x
_atom_site_fract_y
_atom_site_fract_z
_atom_site_occupancy
Y1 Y 0.000 0.000 0.000 1
Sb1 Sb 0.500 0.500 0.289 1
Ir1 Ir 0.000 0.000 0.500 1
```

***

## KBa2Sr (GGA-PBEsol)

Data for an optimized crystal structure of KBa2Sr.

## Properties
offset from the most stable computed form = 0.062 eV per atom
D(E_F) = 25.12 states/eV/cell
E = -1.70 eV/atom
energy of formation = 115 meV per atom

CIF file:
```
data_KBa2Sr
_cell_length_a 9.862
_cell_length_b 9.862
_cell_length_c 9.862
_cell_angle_alpha 90.00
_cell_angle_beta 90.00
_cell_angle_gamma 90.00
_symmetry_space_group_name_H-M 'F m -3 m'
_symmetry_Int_Tables_number 225
_symmetry_space_group_name_Hall '-F 4 2 3'
loop_
_atom_site_label
_atom_site_type_symbol
_atom_site_fract_x
_atom_site_fract_y
_atom_site_fract_z
_atom_site_occupancy
K1 K 0.000 0.000 0.000 1
Ba1 Ba 0.250 0.250 0.250 1
Sr1 Sr 0.000 0.000 0.500 1
```